1.
DFT (PBE) results for a geometry-optimized Ti6GaIr2 structure.

Cell: 7.7993 7.7993 2.7956 Å, 95.63 95.63 58.39°
Fractional positions:
Ti1 0.1509 0.5053 0.2201
Ti2 0.1712 0.8288 0.0000
Ti3 0.4947 0.8491 0.7799
Ti4 0.5053 0.1509 0.2201
Ti5 0.8288 0.1712 0.0000
Ti6 0.8491 0.4947 0.7799
Ga1 0.5000 0.5000 0.5000
Ir1 0.1655 0.1655 0.5163
Ir2 0.8345 0.8345 0.4837

Output
As for the total DFT energy (no corrections): -7.859 eV/atom. The space-group type is C2/m. Its total magnetization is 1.54 μB per formula unit.

***

2.
DFT (PBE) results for a geometry-optimized Ti5GaIr6 structure.

Cell: 7.4066 7.4066 7.4066 Å, 147.20 124.47 66.01°
Fractional positions:
Ti1 0.0000 0.0000 0.0000
Ti2 0.1551 0.6551 0.5000
Ti3 0.3264 0.3264 0.0000
Ti4 0.6736 0.6736 0.0000
Ti5 0.8449 0.3449 0.5000
Ga1 0.5000 0.0000 0.5000
Ir1 0.0928 0.8323 0.2605
Ir2 0.2659 0.5000 0.7659
Ir3 0.4281 0.1677 0.2605
Ir4 0.5719 0.8323 0.7395
Ir5 0.7341 0.5000 0.2341
Ir6 0.9072 0.1677 0.7395

Output
As for the total DFT energy (no corrections): -8.802 eV/atom. The space-group type is Immm. Its total magnetization is 0.00 μB per formula unit.

***

3.
DFT (PBE) results for a geometry-optimized Ti7Ga2Ir2 structure.

Cell: 5.8963 5.8963 6.0656 Å, 90.00 90.00 104.79°
Fractional positions:
Ti1 0.0000 0.0000 0.0000
Ti2 0.0000 0.5000 0.2704
Ti3 0.0000 0.5000 0.7296
Ti4 0.5000 0.0000 0.2704
Ti5 0.5000 0.0000 0.7296
Ti6 0.5000 0.5000 0.2663
Ti7 0.5000 0.5000 0.7337
Ga1 0.1742 0.1742 0.5000
Ga2 0.8258 0.8258 0.5000
Ir1 0.2800 0.7200 0.0000
Ir2 0.7200 0.2800 0.0000

Output
As for the total DFT energy (no corrections): -7.322 eV/atom. The space-group type is Cmmm. Its total magnetization is 0.00 μB per formula unit.

***

4.
DFT (PBE) results for a geometry-optimized Ti3GaIr structure.

Cell: 4.0068 5.6855 7.6689 Å, 90.00 90.00 90.00°
Fractional positions:
Ti1 0.2500 0.0079 0.2223
Ti2 0.2500 0.2500 0.5698
Ti3 0.2500 0.4921 0.2223
Ti4 0.7500 0.5079 0.7777
Ti5 0.7500 0.7500 0.4302
Ti6 0.7500 0.9921 0.7777
Ga1 0.2500 0.2500 0.9216
Ga2 0.7500 0.7500 0.0784
Ir1 0.2500 0.7500 0.6261
Ir2 0.7500 0.2500 0.3739

Output
As for the total DFT energy (no corrections): -7.374 eV/atom. The space-group type is Pmmn. The value obtained for the relative energy among the computed polymorphs is 0 kJ/mol of formula units. Its total magnetization is 0.00 μB per formula unit.

***

5.
DFT (PBE) results for a geometry-optimized TiGa2Ir2 structure.

Cell: 4.1360 4.2225 9.4052 Å, 90.00 90.00 90.00°
Fractional positions:
Ti1 0.2500 0.2500 0.1788
Ti2 0.7500 0.7500 0.8212
Ga1 0.2500 0.2500 0.4974
Ga2 0.2500 0.2500 0.8231
Ga3 0.7500 0.7500 0.1769
Ga4 0.7500 0.7500 0.5026
Ir1 0.2500 0.7500 0.3361
Ir2 0.2500 0.7500 0.9954
Ir3 0.7500 0.2500 0.0046
Ir4 0.7500 0.2500 0.6639

Output
As for the total DFT energy (no corrections): -6.941 eV/atom. The space-group type is Pmmn. The value obtained for the relative energy among the computed polymorphs is 0 kJ/mol of formula units. Its total magnetization is 0.00 μB per formula unit.

***

6.
DFT (PBE) results for a geometry-optimized TiGaIr3 structure.

Cell: 4.4922 4.4922 4.4922 Å, 90.00 90.00 90.00°
Fractional positions:
Ti1 0.0000 0.0000 0.0000
Ga1 0.5000 0.5000 0.5000
Ir1 0.0000 0.5000 0.5000
Ir2 0.5000 0.0000 0.5000
Ir3 0.5000 0.5000 0.0000

Output
As for the total DFT energy (no corrections): -6.685 eV/atom. The space-group type is Pm-3m. The value obtained for the relative energy among the computed polymorphs is 0 kJ/mol of formula units. Its total magnetization is 0.00 μB per formula unit.

***

7.
DFT (PBE) results for a geometry-optimized Ti3GaIr structure.

Cell: 4.5775 4.5775 4.5775 Å, 90.00 90.00 90.00°
Fractional positions:
Ti1 0.0000 0.0000 0.5000
Ti2 0.0000 0.5000 0.0000
Ti3 0.5000 0.0000 0.0000
Ga1 0.0000 0.0000 0.0000
Ir1 0.5000 0.5000 0.5000

Output
As for the total DFT energy (no corrections): -6.372 eV/atom. The space-group type is Pm-3m. The value obtained for the relative energy among the computed polymorphs is 483 kJ/mol of formula units. Its total magnetization is 0.00 μB per formula unit.

***

8.
DFT (PBE) results for a geometry-optimized Ti5GaIr4 structure.

Cell: 3.2458 3.2458 14.5167 Å, 90.00 90.00 90.00°
Fractional positions:
Ti1 0.0000 0.0000 0.0000
Ti2 0.0000 0.0000 0.1980
Ti3 0.0000 0.0000 0.3966
Ti4 0.0000 0.0000 0.6034
Ti5 0.0000 0.0000 0.8020
Ga1 0.5000 0.5000 0.5000
Ir1 0.5000 0.5000 0.1002
Ir2 0.5000 0.5000 0.3002
Ir3 0.5000 0.5000 0.6998
Ir4 0.5000 0.5000 0.8998

Output
As for the total DFT energy (no corrections): -8.512 eV/atom. The space-group type is P4/mmm. Its total magnetization is 0.00 μB per formula unit.

***

> total DFT energy (no corrections) of number 6 (TiGaIr3)?

-6.685 eV/atom